The following is a DFT calculation (PBE+U) of an optimized crystal structure of CsFeP2O.

As for the uncorrected energy: -2.78 eV/atom. The calculation puts the spin magnetization at 2.88 μB/f.u.

Unit cell a=5.517 b=5.517 c=4.284 alpha=90.00 beta=90.00 gamma=90.00
Positions (direct):
1 P 0.500 0.000 0.000
2 O 0.000 0.000 0.500
3 Cs 0.000 0.000 0.000
4 Fe 0.500 0.500 0.500
5 P 0.000 0.500 0.000